No. 1
Y3InPd12 | PBE | optimized geometry

Output
* calculated volume: 17.4 Å³ per atom
* E_form: -11.906 eV per formula unit

a = 4.1220 Å, b = 4.1220 Å, c = 16.3633 Å
α = 90.00°, β = 90.00°, γ = 90.00°
Element x y z (fractional)
Pd: 0.5000 0.5000 0.2467
Pd: 0.5000 0.0000 0.3734
Pd: 0.5000 0.0000 0.8804
Pd: 0.0000 0.5000 0.6266
Pd: 0.0000 0.5000 0.8804
Pd: 0.5000 0.0000 0.1196
Pd: 0.0000 0.5000 0.1196
Pd: 0.0000 0.5000 0.3734
Pd: 0.5000 0.5000 0.5000
Pd: 0.5000 0.0000 0.6266
Pd: 0.5000 0.5000 0.7533
Pd: 0.5000 0.5000 0.0000
In: 0.0000 0.0000 0.0000
Y: 0.0000 0.0000 0.5000
Y: 0.0000 0.0000 0.7542
Y: 0.0000 0.0000 0.2458

No. 2
Ac2SnBr8 | PBE | optimized geometry

Output
* calculated volume: 39.8 Å³ per atom
* E_form (uncorrected): -1791 kJ/mol of formula units

a = 4.4515 Å, b = 8.5729 Å, c = 11.7824 Å
α = 82.52°, β = 100.89°, γ = 90.00°
Element x y z (fractional)
Br: 0.9825 0.2382 0.9649
Br: 0.6316 0.9419 0.2632
Br: 0.6120 0.4746 0.2240
Br: 0.0175 0.7618 0.0351
Br: 0.3684 0.0581 0.7368
Br: 0.3880 0.5254 0.7760
Br: 0.7581 0.6710 0.5162
Br: 0.2419 0.3290 0.4838
Ac: 0.8421 0.3331 0.6842
Ac: 0.1579 0.6669 0.3158
Sn: 0.5000 0.0000 0.0000

calculated volume of number 1 (Y3InPd12)?
17.4 Å³ per atom

Copy entry 1 word for word.
Y3InPd12 | PBE | optimized geometry

Output
* calculated volume: 17.4 Å³ per atom
* E_form: -11.906 eV per formula unit

a = 4.1220 Å, b = 4.1220 Å, c = 16.3633 Å
α = 90.00°, β = 90.00°, γ = 90.00°
Element x y z (fractional)
Pd: 0.5000 0.5000 0.2467
Pd: 0.5000 0.0000 0.3734
Pd: 0.5000 0.0000 0.8804
Pd: 0.0000 0.5000 0.6266
Pd: 0.0000 0.5000 0.8804
Pd: 0.5000 0.0000 0.1196
Pd: 0.0000 0.5000 0.1196
Pd: 0.0000 0.5000 0.3734
Pd: 0.5000 0.5000 0.5000
Pd: 0.5000 0.0000 0.6266
Pd: 0.5000 0.5000 0.7533
Pd: 0.5000 0.5000 0.0000
In: 0.0000 0.0000 0.0000
Y: 0.0000 0.0000 0.5000
Y: 0.0000 0.0000 0.7542
Y: 0.0000 0.0000 0.2458

Among the records above, which one has the lowest calculated volume?
Y3InPd12